The following is a PBE-GGA calculation of a geometry-optimized Tl4ZnOs structure, from the Alexandria database.

Unit cell a=6.1062 b=6.1062 c=6.1062 alpha=60.00 beta=60.00 gamma=60.00
With the nearest neighbours (Å) after each atom.
Atoms (fractional coordinates):
Tl 0.8761 0.3746 0.3746  6 Tl 3.04-3.06
Zn 0.7500 0.7500 0.7500  12 Tl 3.58, 4 Os 3.74
Tl 0.3746 0.3746 0.3746  6 Tl 3.04-3.06
Os 0.0000 0.0000 0.0000  12 Tl 3.58, 4 Zn 3.74
Tl 0.3746 0.8761 0.3746  6 Tl 3.04-3.06
Tl 0.3746 0.3746 0.8761  6 Tl 3.04-3.06

Values from the calculation:
- space group = No. 216
- final energy (eV/atom) = -2.51